Density functional theory data (PBE) for a relaxed Pr3NdAu2 crystal.

Cell: 3.9443 10.1896 9.1875 Å, 90.00 90.00 90.00°
Fractional positions:
Pr 0.0000 0.0761 0.0000
Pr 0.0000 0.2809 0.3486
Pr 0.0000 0.7191 0.8486
Pr 0.0000 0.9239 0.5000
Pr 0.5000 0.2199 0.6720
Pr 0.5000 0.7801 0.1720
Nd 0.5000 0.4268 0.0198
Nd 0.5000 0.5732 0.5198
Au 0.0000 0.4336 0.7407
Au 0.0000 0.5664 0.2407
Au 0.5000 0.0672 0.2795
Au 0.5000 0.9328 0.7795

Results
The space-group type is Pmc2_1. The value obtained for the energy relative to the elements is -0.510 eV/atom.